## ErVGe2O8 (PBE with a Hubbard U)

Data for a relaxed structure of ErVGe2O8.

Unit cell a=6.731 b=6.731 c=6.229 alpha=90.00 beta=90.00 gamma=90.00
Space group I-4m2 (No. 119)
Symmetry-distinct sites (fractional):
Er (0.000, 0.000, 0.000) [2 per cell]
V (0.000, 0.500, 0.250) [2 per cell]
Ge (0.000, 0.000, 0.500) [2 per cell]
Ge (0.000, 0.500, 0.750) [2 per cell]
O (0.000, 0.201, 0.313) [8 per cell]
O (0.000, 0.325, 0.959) [8 per cell]

Energy in eV per atom: -6.966